Entry from Alexandria via LeMat-Bulk: a geometry-optimized Ba8P5 structure (GGA-PBE).

Results
ΔH_f (0 K), kJ/mol of atoms: -87.60
Symmetry: C2/m, No. 12
D(E_F), states/eV/atom: 0.2872

Geometry as extended XYZ:
```
13
Lattice="7.671 -4.699 0.000 7.671 4.699 0.000 -7.315 0.000 8.151" Properties=species:S:1:pos:R:3 pbc="T T T"
Ba 6.199 -2.619 5.417
Ba 1.828 2.619 2.734
Ba -1.419 0.000 1.627
Ba 6.199 2.619 5.417
Ba 5.956 0.000 1.314
Ba 2.070 0.000 6.837
Ba 1.828 -2.619 2.734
Ba 9.446 0.000 6.524
P -3.657 0.000 4.075
P 7.671 2.255 0.000
P 0.677 0.000 4.098
P 7.350 0.000 4.052
P 7.671 -2.255 0.000
```

=====

Entry from Alexandria via LeMat-Bulk: a geometry-optimized AcSmHo structure (GGA-PBE).

Results
ΔH_f (0 K), kJ/mol of atoms: 5.70
Symmetry: P2_1/m, No. 11
D(E_F), states/eV/atom: 1.7346

Geometry as extended XYZ:
```
6
Lattice="3.690 0.000 0.000 0.000 5.655 0.000 -1.835 0.000 10.501" Properties=species:S:1:pos:R:3 pbc="T T T"
Ac 0.007 1.414 4.261
Ac 1.848 4.241 6.240
Sm -0.002 1.414 0.775
Sm 1.857 4.241 9.726
Ho 0.010 1.414 8.166
Ho 1.844 4.241 2.335
```

=====

Entry from Alexandria via LeMat-Bulk: a geometry-optimized Zn2CrW structure (GGA-PBE).

Results
ΔH_f (0 K), kJ/mol of atoms: 35.55
Symmetry: F-43m, No. 216
D(E_F), states/eV/atom: 0.3891

Geometry as extended XYZ:
```
16
Lattice="6.076 0.000 0.000 0.000 6.076 0.000 0.000 0.000 6.076" Properties=species:S:1:pos:R:3 pbc="T T T"
Zn 0.000 0.000 0.000
Zn 0.000 3.038 3.038
Zn 1.519 1.519 1.519
Zn 1.519 4.557 4.557
Zn 3.038 0.000 3.038
Zn 3.038 3.038 0.000
Zn 4.557 1.519 4.557
Zn 4.557 4.557 1.519
Cr 0.000 0.000 3.038
Cr 0.000 3.038 0.000
Cr 3.038 0.000 0.000
Cr 3.038 3.038 3.038
W 1.519 1.519 4.557
W 1.519 4.557 1.519
W 4.557 1.519 1.519
W 4.557 4.557 4.557
```